No. 1
First-principles (PBE) data for an optimized crystal structure of LiGa5Pd2, as listed in Alexandria via LeMat-Bulk.

Summary:
Formation energy, eV per formula unit: -3.0

Lattice parameters (Å, degrees): 6.744 6.744 6.744 152.26 104.12 82.59
Positions (direct):
Li 0.000 0.000 0.000
Ga 0.138 0.365 0.773
Ga 0.408 0.635 0.773
Ga 0.500 0.000 0.500
Ga 0.592 0.365 0.227
Ga 0.862 0.635 0.227
Pd 0.253 0.753 0.500
Pd 0.747 0.247 0.500

=====

No. 2
First-principles (PBE) data for an optimized crystal structure of Li12Ga2Pd, as listed in Alexandria via LeMat-Bulk.

Summary:
Formation energy, eV per formula unit: 0.3

Lattice parameters (Å, degrees): 5.451 5.451 19.542 90.00 90.00 90.00
Positions (direct):
Li 0.000 0.000 0.081
Li 0.000 0.000 0.919
Li 0.000 0.500 0.081
Li 0.000 0.500 0.919
Li 0.070 0.570 0.436
Li 0.070 0.930 0.564
Li 0.250 0.250 0.207
Li 0.250 0.250 0.336
Li 0.250 0.250 0.664
Li 0.250 0.250 0.793
Li 0.430 0.570 0.564
Li 0.430 0.930 0.436
Li 0.500 0.000 0.081
Li 0.500 0.000 0.919
Li 0.500 0.500 0.081
Li 0.500 0.500 0.919
Li 0.570 0.070 0.564
Li 0.570 0.430 0.436
Li 0.750 0.750 0.207
Li 0.750 0.750 0.336
Li 0.750 0.750 0.664
Li 0.750 0.750 0.793
Li 0.930 0.070 0.436
Li 0.930 0.430 0.564
Ga 0.250 0.750 0.298
Ga 0.250 0.750 0.702
Ga 0.750 0.250 0.298
Ga 0.750 0.250 0.702
Pd 0.250 0.750 0.000
Pd 0.750 0.250 0.000

=====

No. 3
First-principles (PBE) data for an optimized crystal structure of Li5Ga2Pd4, as listed in Alexandria via LeMat-Bulk.

Summary:
Formation energy, eV per formula unit: -5.2

Lattice parameters (Å, degrees): 13.708 13.708 4.340 99.09 99.09 11.82
Positions (direct):
Li 0.000 0.000 0.000
Li 0.280 0.280 0.278
Li 0.402 0.402 0.897
Li 0.598 0.598 0.103
Li 0.720 0.720 0.722
Ga 0.131 0.131 0.635
Ga 0.869 0.869 0.365
Pd 0.182 0.182 0.185
Pd 0.450 0.450 0.446
Pd 0.550 0.550 0.554
Pd 0.818 0.818 0.815

=====

No. 4
First-principles (PBE) data for an optimized crystal structure of Li2Ga5Pd2, as listed in Alexandria via LeMat-Bulk.

Summary:
Formation energy, eV per formula unit: -2.4

Lattice parameters (Å, degrees): 7.570 7.570 6.861 90.00 90.00 53.84
Positions (direct):
Li 0.205 0.205 0.000
Li 0.295 0.295 0.500
Li 0.705 0.705 0.500
Li 0.795 0.795 0.000
Ga 0.000 0.000 0.000
Ga 0.020 0.721 0.648
Ga 0.221 0.520 0.148
Ga 0.279 0.980 0.648
Ga 0.480 0.779 0.148
Ga 0.500 0.500 0.500
Ga 0.520 0.221 0.852
Ga 0.721 0.020 0.352
Ga 0.779 0.480 0.852
Ga 0.980 0.279 0.352
Pd 0.149 0.851 0.345
Pd 0.351 0.649 0.845
Pd 0.649 0.351 0.155
Pd 0.851 0.149 0.655

=====

No. 5
First-principles (PBE) data for an optimized crystal structure of Li3Ga5Pd, as listed in Alexandria via LeMat-Bulk.

Summary:
Formation energy, eV per formula unit: -1.8

Lattice parameters (Å, degrees): 7.579 7.579 7.579 120.03 120.03 89.95
Positions (direct):
Li 0.109 0.609 0.718
Li 0.250 0.250 0.000
Li 0.391 0.109 0.500
Li 0.609 0.891 0.500
Li 0.750 0.750 0.000
Li 0.891 0.391 0.282
Ga 0.000 0.000 0.000
Ga 0.067 0.167 0.500
Ga 0.167 0.667 0.101
Ga 0.333 0.433 0.500
Ga 0.433 0.933 0.101
Ga 0.500 0.500 0.000
Ga 0.567 0.067 0.899
Ga 0.667 0.567 0.500
Ga 0.833 0.333 0.899
Ga 0.933 0.833 0.500
Pd 0.250 0.750 0.500
Pd 0.750 0.250 0.500

=====

No. 6
First-principles (PBE) data for an optimized crystal structure of Li3Ga3Pd, as listed in Alexandria via LeMat-Bulk.

Summary:
Formation energy, eV per formula unit: -2.2

Lattice parameters (Å, degrees): 5.861 5.861 7.215 92.17 92.17 99.04
Positions (direct):
Li 0.133 0.867 0.000
Li 0.263 0.737 0.500
Li 0.470 0.470 0.802
Li 0.530 0.530 0.198
Li 0.737 0.263 0.500
Li 0.867 0.133 0.000
Ga 0.008 0.516 0.192
Ga 0.209 0.209 0.353
Ga 0.484 0.992 0.808
Ga 0.516 0.008 0.192
Ga 0.791 0.791 0.647
Ga 0.992 0.484 0.808
Pd 0.127 0.127 0.684
Pd 0.873 0.873 0.316

=====

No. 7
First-principles (PBE) data for an optimized crystal structure of Li4Ga3Pd, as listed in Alexandria via LeMat-Bulk.

Summary:
Formation energy, eV per formula unit: -3.0

Lattice parameters (Å, degrees): 6.928 6.928 6.928 143.17 142.98 53.21
Positions (direct):
Li 0.123 0.123 0.000
Li 0.247 0.747 0.500
Li 0.753 0.253 0.500
Li 0.877 0.877 0.000
Ga 0.375 0.375 0.000
Ga 0.500 0.000 0.500
Ga 0.625 0.625 0.000
Pd 0.000 0.500 0.500

=====

No. 8
First-principles (PBE) data for an optimized crystal structure of Li3Ga5Pd2, as listed in Alexandria via LeMat-Bulk.

Summary:
Formation energy, eV per formula unit: -2.9

Lattice parameters (Å, degrees): 8.683 8.683 8.683 104.85 85.86 144.67
Positions (direct):
Li 0.219 0.101 0.320
Li 0.250 0.250 0.000
Li 0.281 0.601 0.882
Li 0.719 0.399 0.118
Li 0.750 0.750 0.000
Li 0.781 0.899 0.680
Ga 0.155 0.371 0.526
Ga 0.250 0.007 0.757
Ga 0.250 0.493 0.243
Ga 0.250 0.750 0.500
Ga 0.345 0.871 0.215
Ga 0.655 0.129 0.785
Ga 0.750 0.250 0.500
Ga 0.750 0.507 0.757
Ga 0.750 0.993 0.243
Ga 0.845 0.629 0.474
Pd 0.153 0.841 0.994
Pd 0.347 0.341 0.687
Pd 0.653 0.659 0.313
Pd 0.847 0.159 0.006

=====

formation energy of number 2 (Li12Ga2Pd)? 0.3 eV per formula unit

=====

Which value of formation energy does entry 8 give? -2.9 eV per formula unit